--- a ---
The following is a PBE calculation of a relaxed structure of KFeMo2, from Alexandria via LeMat-Bulk.

Calculated values
Space group = P4/mmm

```
KFeMo2
1.0
2.721 0.000 0.000
0.000 2.721 0.000
0.000 0.000 9.936
K Fe Mo
1 1 2
Cartesian
0.000 0.000 0.000
0.000 0.000 4.968
1.360 1.360 3.238
1.360 1.360 6.698
```

--- b ---
The following is a PBE calculation of a relaxed structure of KFeMo2, from Alexandria via LeMat-Bulk.

Calculated values
Space group = I4_1/amd

```
KFeMo2
1.0
-2.505 2.505 8.089
2.505 -2.505 8.089
2.505 2.505 -8.089
K Fe Mo
2 2 4
Cartesian
2.505 1.252 2.022
0.000 1.252 6.067
2.505 -1.252 6.067
0.000 3.757 2.022
0.000 0.000 0.000
1.252 1.252 -4.044
1.252 -1.252 4.044
0.000 2.505 0.000
```

--- c ---
The following is a PBE calculation of a relaxed structure of KFeMo2, from Alexandria via LeMat-Bulk.

Calculated values
Space group = Cm

```
KFeMo2
1.0
4.519 -1.514 0.000
4.519 1.514 0.000
-1.139 0.000 7.006
K Fe Mo
1 1 2
Cartesian
0.000 0.000 0.000
1.349 0.000 4.395
4.006 0.000 3.639
6.719 0.000 2.750
```

--- d ---
The following is a PBE calculation of a relaxed structure of KFeMo2, from Alexandria via LeMat-Bulk.

Calculated values
Space group = Fm-3m

```
KFeMo2
1.0
0.000 3.165 3.165
3.165 0.000 3.165
3.165 3.165 0.000
K Fe Mo
1 1 2
Cartesian
0.000 0.000 0.000
3.165 3.165 3.165
1.582 1.582 1.582
4.747 4.747 4.747
```

Computed energies relative to the best structure, in eV/atom: a 0.000; b 0.862; c 0.139; d 0.820

--- a ---
The following is a PBE calculation of a relaxed structure of KFeS2N, from Alexandria via LeMat-Bulk.

Calculated values
Space group = P4/mmm

```
KFeS2N
1.0
4.978 0.000 0.000
0.000 4.978 0.000
0.000 0.000 3.492
K Fe S N
1 1 2 1
Cartesian
0.000 0.000 0.000
2.489 2.489 1.746
0.000 2.489 1.746
2.489 0.000 1.746
2.489 2.489 0.000
```

--- b ---
The following is a PBE calculation of a relaxed structure of KFeS2N, from Alexandria via LeMat-Bulk.

Calculated values
Space group = P4/mmm

```
KFeS2N
1.0
5.492 0.000 0.000
0.000 5.492 0.000
0.000 0.000 4.727
K Fe S N
1 1 2 1
Cartesian
0.000 0.000 0.000
2.746 2.746 2.364
0.000 2.746 0.000
2.746 0.000 0.000
0.000 0.000 2.364
```

Computed energies relative to the best structure, in eV/atom: a 0.000; b 1.965

--- a ---
The following is a PBE calculation of a relaxed structure of KFeSe2N, from Alexandria via LeMat-Bulk.

Calculated values
Space group = P4/mmm

```
KFeSe2N
1.0
5.334 0.000 0.000
0.000 5.334 0.000
0.000 0.000 3.432
K Fe Se N
1 1 2 1
Cartesian
0.000 0.000 0.000
2.667 2.667 1.716
0.000 2.667 1.716
2.667 0.000 1.716
2.667 2.667 0.000
```

--- b ---
The following is a PBE calculation of a relaxed structure of KFeSe2N, from Alexandria via LeMat-Bulk.

Calculated values
Space group = P4/mmm

```
KFeSe2N
1.0
5.752 0.000 0.000
0.000 5.752 0.000
0.000 0.000 4.737
K Fe Se N
1 1 2 1
Cartesian
0.000 0.000 0.000
2.876 2.876 2.368
0.000 2.876 0.000
2.876 0.000 0.000
0.000 0.000 2.368
```

Computed energies relative to the best structure, in eV/atom: a 0.000; b 1.925

--- a ---
The following is a PBE calculation of a relaxed structure of KFeTeN2, from Alexandria via LeMat-Bulk.

Calculated values
Space group = P4/mmm

```
KFeTeN2
1.0
4.734 0.000 0.000
0.000 4.734 0.000
0.000 0.000 6.933
K Fe Te N
1 1 1 2
Cartesian
0.000 0.000 0.000
2.367 2.367 3.467
0.000 0.000 3.467
0.000 2.367 0.000
2.367 0.000 0.000
```

--- b ---
The following is a PBE calculation of a relaxed structure of KFeTeN2, from Alexandria via LeMat-Bulk.

Calculated values
Space group = P4/mmm

```
KFeTeN2
1.0
4.202 0.000 0.000
0.000 4.202 0.000
0.000 0.000 5.105
K Fe Te N
1 1 1 2
Cartesian
0.000 0.000 0.000
2.101 2.101 2.552
2.101 2.101 0.000
0.000 2.101 2.552
2.101 0.000 2.552
```

Computed energies relative to the best structure, in eV/atom: a 1.354; b 0.000

--- a ---
The following is a PBE calculation of a relaxed structure of KNbFe2, from Alexandria via LeMat-Bulk.

Calculated values
Space group = I4_1/amd

```
KNbFe2
1.0
-2.487 2.487 8.256
2.487 -2.487 8.256
2.487 2.487 -8.256
K Nb Fe
2 2 4
Cartesian
2.487 1.243 2.064
0.000 1.243 6.192
2.487 -1.243 6.192
0.000 3.730 2.064
0.000 0.000 0.000
1.243 1.243 -4.128
1.243 -1.243 4.128
0.000 2.487 0.000
```

--- b ---
The following is a PBE calculation of a relaxed structure of KNbFe2, from Alexandria via LeMat-Bulk.

Calculated values
Space group = Fm-3m

```
KNbFe2
1.0
0.000 3.190 3.190
3.190 0.000 3.190
3.190 3.190 0.000
K Nb Fe
1 1 2
Cartesian
0.000 0.000 0.000
3.190 3.190 3.190
1.595 1.595 1.595
4.785 4.785 4.785
```

Computed energies relative to the best structure, in eV/atom: a 0.000; b 0.127